# ZnCoCuSn, relaxed, DFT PBE
# E_form = 0.061 eV/atom
# M_tot = 0.053 μB/atom
# Total energy = -4.059 eV/atom
data_ZnCoCuSn
_chemical_formula_sum 'Zn4 Co4 Cu4 Sn4'
_cell_length_a 6.133
_cell_length_b 6.133
_cell_length_c 6.133
_cell_angle_alpha 90.00
_cell_angle_beta 90.00
_cell_angle_gamma 90.00
_space_group_name_H-M_alt 'F -4 3 m'
_space_group_IT_number 216
_space_group_name_Hall 'F -4 2 3'
loop_
_atom_site_label
_atom_site_type_symbol
_atom_site_fract_x
_atom_site_fract_y
_atom_site_fract_z
_atom_site_occupancy
Zn1 Zn 0.000 0.000 0.000 1
Co1 Co 0.250 0.250 0.250 1
Cu1 Cu 0.250 0.250 0.750 1
Sn1 Sn 0.000 0.000 0.500 1

---

# Pr4Ir2Pb5, relaxed, DFT PBE
# E_form = -0.500 eV/atom
# M_tot = 0.000 μB/atom
# Total energy = -5.535 eV/atom
data_Pr4Ir2Pb5
_chemical_formula_sum 'Pr4 Ir2 Pb5'
_cell_length_a 8.143
_cell_length_b 3.922
_cell_length_c 9.813
_cell_angle_alpha 90.00
_cell_angle_beta 93.03
_cell_angle_gamma 90.00
_space_group_name_H-M_alt 'P 1 2/m 1'
_space_group_IT_number 10
loop_
_space_group_symop_operation_xyz
'x,y,z'
'-x,-y,-z'
'-x,y,-z'
'x,-y,z'
loop_
_atom_site_label
_atom_site_type_symbol
_atom_site_fract_x
_atom_site_fract_y
_atom_site_fract_z
_atom_site_occupancy
Pr1 Pr 0.194 0.000 0.343 1
Pr2 Pr 0.210 0.000 0.927 1
Ir1 Ir 0.082 0.500 0.132 1
Pb1 Pb 0.140 0.500 0.635 1
Pb2 Pb 0.450 0.500 0.163 1
Pb3 Pb 0.500 0.500 0.500 1

---

# Pm4TlIr, relaxed, DFT PBE
# E_form = -0.473 eV/atom
# M_tot = 0.000 μB/atom
# Offset from the most stable computed form = 0.000 eV per formula unit
# Total energy = -5.511 eV/atom
data_Pm4TlIr
_chemical_formula_sum 'Pm64 Tl16 Ir16'
_cell_length_a 14.052
_cell_length_b 14.052
_cell_length_c 14.052
_cell_angle_alpha 90.00
_cell_angle_beta 90.00
_cell_angle_gamma 90.00
_space_group_name_H-M_alt 'F -4 3 m'
_space_group_IT_number 216
_space_group_name_Hall 'F -4 2 3'
loop_
_atom_site_label
_atom_site_type_symbol
_atom_site_fract_x
_atom_site_fract_y
_atom_site_fract_z
_atom_site_occupancy
Pm1 Pm 0.000 0.000 0.191 1
Pm2 Pm 0.058 0.250 0.250 1
Pm3 Pm 0.151 0.151 0.651 1
Tl1 Tl 0.085 0.085 0.415 1
Ir1 Ir 0.142 0.142 0.858 1

---

# Ho2Zn16Sn, relaxed, DFT PBE
# E_form = -0.202 eV/atom
# M_tot = 0.000 μB/atom
# Total energy = -1.967 eV/atom
data_Ho2Zn16Sn
_chemical_formula_sum 'Ho6 Zn48 Sn3'
_cell_length_a 9.1575
_cell_length_b 9.1575
_cell_length_c 13.0376
_cell_angle_alpha 90.00
_cell_angle_beta 90.00
_cell_angle_gamma 120.00
_space_group_name_H-M_alt 'R 3 m'
_space_group_IT_number 160
_space_group_name_Hall 'R 3 -2"'
loop_
_atom_site_label
_atom_site_type_symbol
_atom_site_fract_x
_atom_site_fract_y
_atom_site_fract_z
_atom_site_occupancy
Ho1 Ho 0.0000 0.0000 0.0000 1
Ho2 Ho 0.0000 0.0000 0.3211 1
Zn1 Zn 0.0000 0.0000 0.5529 1
Zn2 Zn 0.0010 0.3138 0.6576 1
Zn3 Zn 0.0091 0.5046 0.8153 1
Zn4 Zn 0.0162 0.5081 0.1572 1
Zn5 Zn 0.1775 0.3551 0.8350 1
Sn1 Sn 0.0000 0.0000 0.7586 1

---

# Tb4ThSb5, relaxed, DFT PBE
# M_tot = 0.000 μB/atom
# Formation energy from raw total energies = -1.11 eV/atom
# Offset from the most stable computed form = 0.000 eV per formula unit
# Total energy = -5.762 eV/atom
data_Tb4ThSb5
_chemical_formula_sum 'Tb8 Th2 Sb10'
_cell_length_a 4.430
_cell_length_b 6.268
_cell_length_c 22.108
_cell_angle_alpha 90.00
_cell_angle_beta 90.00
_cell_angle_gamma 90.00
_space_group_name_H-M_alt 'I m m m'
_space_group_IT_number 71
_space_group_name_Hall '-I 2 2'
loop_
_atom_site_label
_atom_site_type_symbol
_atom_site_fract_x
_atom_site_fract_y
_atom_site_fract_z
_atom_site_occupancy
Tb1 Tb 0.000 0.000 0.101 1
Tb2 Tb 0.000 0.000 0.298 1
Th1 Th 0.000 0.000 0.500 1
Sb1 Sb 0.000 0.500 0.103 1
Sb2 Sb 0.000 0.500 0.300 1
Sb3 Sb 0.000 0.500 0.500 1

---

# NaCuPO2, relaxed, DFT PBE
# M_tot = 0.001 μB/atom
# Formation energy from raw total energies = 0.12 eV/atom
# Offset from the most stable computed form = 0.000 eV per formula unit
# Total energy = -4.026 eV/atom
data_NaCuPO2
_chemical_formula_sum 'Na1 Cu1 P1 O2'
_cell_length_a 4.017
_cell_length_b 4.017
_cell_length_c 4.308
_cell_angle_alpha 90.00
_cell_angle_beta 90.00
_cell_angle_gamma 90.00
_space_group_name_H-M_alt 'P 4/m m m'
_space_group_IT_number 123
_space_group_name_Hall '-P 4 2'
loop_
_atom_site_label
_atom_site_type_symbol
_atom_site_fract_x
_atom_site_fract_y
_atom_site_fract_z
_atom_site_occupancy
Na1 Na 0.000 0.000 0.000 1
Cu1 Cu 0.500 0.500 0.500 1
P1 P 0.500 0.500 0.000 1
O1 O 0.000 0.500 0.500 1

---

# ZrMoOs, relaxed, DFT PBE
# E_form = -0.053 eV/atom
# M_tot = 0.000 μB/atom
# Offset from the most stable computed form = 0.000 eV per formula unit
# Total energy = -10.256 eV/atom
data_ZrMoOs
_chemical_formula_sum 'Zr4 Mo4 Os4'
_cell_length_a 4.555
_cell_length_b 9.816
_cell_length_c 4.605
_cell_angle_alpha 90.00
_cell_angle_beta 90.00
_cell_angle_gamma 90.00
_space_group_name_H-M_alt 'C m c m'
_space_group_IT_number 63
_space_group_name_Hall '-C 2c 2'
loop_
_atom_site_label
_atom_site_type_symbol
_atom_site_fract_x
_atom_site_fract_y
_atom_site_fract_z
_atom_site_occupancy
Zr1 Zr 0.000 0.094 0.250 1
Mo1 Mo 0.000 0.422 0.250 1
Os1 Os 0.000 0.244 0.750 1

---

# Sc2AuF, relaxed, DFT PBE
# M_tot = 0.034 μB/atom
# Formation energy from raw total energies = -1.11 eV/atom
# Offset from the most stable computed form = 1.581 eV per formula unit
# Total energy = -5.562 eV/atom
data_Sc2AuF
_chemical_formula_sum 'Sc8 Au4 F4'
_cell_length_a 6.641
_cell_length_b 6.641
_cell_length_c 6.641
_cell_angle_alpha 90.00
_cell_angle_beta 90.00
_cell_angle_gamma 90.00
_space_group_name_H-M_alt 'F m -3 m'
_space_group_IT_number 225
_space_group_name_Hall '-F 4 2 3'
loop_
_atom_site_label
_atom_site_type_symbol
_atom_site_fract_x
_atom_site_fract_y
_atom_site_fract_z
_atom_site_occupancy
Sc1 Sc 0.250 0.250 0.250 1
Au1 Au 0.000 0.000 0.000 1
F1 F 0.000 0.000 0.500 1

---

# BaErAuSe3, relaxed, DFT PBE
# M_tot = 0.000 μB/atom
# Formation energy from raw total energies = -1.49 eV/atom
# Total energy = -4.860 eV/atom
data_BaErAuSe3
_chemical_formula_sum 'Ba2 Er2 Au2 Se6'
_cell_length_a 8.596
_cell_length_b 4.224
_cell_length_c 9.620
_cell_angle_alpha 90.00
_cell_angle_beta 106.22
_cell_angle_gamma 90.00
_space_group_name_H-M_alt 'P 1 21/m 1'
_space_group_IT_number 11
loop_
_space_group_symop_operation_xyz
'x,y,z'
'-x,-y,-z'
'-x,y+1/2,-z'
'x,-y+1/2,z'
loop_
_atom_site_label
_atom_site_type_symbol
_atom_site_fract_x
_atom_site_fract_y
_atom_site_fract_z
_atom_site_occupancy
Ba1 Ba 0.209 0.250 0.254 1
Er1 Er 0.320 0.750 0.839 1
Au1 Au 0.100 0.250 0.592 1
Se1 Se 0.101 0.250 0.869 1
Se2 Se 0.266 0.750 0.533 1
Se3 Se 0.447 0.750 0.148 1

---

# La3Y7Sc, relaxed, DFT PBE
# E_form = 0.180 eV/atom
# M_tot = 0.000 μB/atom
# Offset from the most stable computed form = 0.000 eV per formula unit
# Total energy = -5.853 eV/atom
data_La3Y7Sc
_chemical_formula_sum 'La3 Y7 Sc1'
_cell_length_a 7.1024
_cell_length_b 7.1024
_cell_length_c 8.7244
_cell_angle_alpha 90.00
_cell_angle_beta 90.00
_cell_angle_gamma 120.00
_space_group_name_H-M_alt 'P 3 m 1'
_space_group_IT_number 156
loop_
_space_group_symop_operation_xyz
'x,y,z'
'-y,x-y,z'
'-x+y,-x,z'
'-y,-x,z'
'-x+y,y,z'
'x,x-y,z'
loop_
_atom_site_label
_atom_site_type_symbol
_atom_site_fract_x
_atom_site_fract_y
_atom_site_fract_z
_atom_site_occupancy
La1 La 0.0031 0.5015 0.0000 1
Y1 Y 0.1683 0.3366 0.6542 1
Y2 Y 0.3348 0.1674 0.3346 1
Y3 Y 0.6667 0.3333 0.6588 1
Sc1 Sc 0.3333 0.6667 0.3370 1

---

# TaMo2Ir, relaxed, DFT PBE
# E_form = -0.053 eV/atom
# M_tot = 0.000 μB/atom
# Offset from the most stable computed form = 0.404 eV per formula unit
# Total energy = -10.647 eV/atom
data_TaMo2Ir
_chemical_formula_sum 'Ta2 Mo4 Ir2'
_cell_length_a 3.999
_cell_length_b 3.999
_cell_length_c 8.065
_cell_angle_alpha 90.00
_cell_angle_beta 90.00
_cell_angle_gamma 90.00
_space_group_name_H-M_alt 'I -4 m 2'
_space_group_IT_number 119
_space_group_name_Hall 'I -4 -2'
loop_
_atom_site_label
_atom_site_type_symbol
_atom_site_fract_x
_atom_site_fract_y
_atom_site_fract_z
_atom_site_occupancy
Ta1 Ta 0.000 0.000 0.000 1
Mo1 Mo 0.000 0.000 0.500 1
Mo2 Mo 0.000 0.500 0.250 1
Ir1 Ir 0.000 0.500 0.750 1

---

# Zn5Pt4, relaxed, DFT PBE
# E_form = -0.405 eV/atom
# M_tot = 0.000 μB/atom
# Offset from the most stable computed form = 0.227 eV per formula unit
# Total energy = -3.798 eV/atom
data_Zn5Pt4
_chemical_formula_sum 'Zn10 Pt8'
_cell_length_a 7.6187
_cell_length_b 7.6187
_cell_length_c 5.3991
_cell_angle_alpha 90.00
_cell_angle_beta 90.00
_cell_angle_gamma 120.00
_space_group_name_H-M_alt 'P 63/m c m'
_space_group_IT_number 193
_space_group_name_Hall '-P 6c 2'
loop_
_atom_site_label
_atom_site_type_symbol
_atom_site_fract_x
_atom_site_fract_y
_atom_site_fract_z
_atom_site_occupancy
Zn1 Zn 0.0000 0.2972 0.2500 1
Zn2 Zn 0.3333 0.6667 0.0000 1
Pt1 Pt 0.0000 0.0000 0.0000 1
Pt2 Pt 0.0000 0.3730 0.7500 1